Below is a relaxed structure of Fe3Pd12Au5, with properties calculated at the GGA-PBE level.

Values from the calculation:
DFT formation energy   0.522 eV/atom
Fermi-level density of states   0.82 states/eV per atom
Calculated density   9.7 g/cm3
Total magnetization   0.685 μB/atom

a b c (Å): 14.952 14.952 14.952
angles (deg): 90.00 90.00 90.00
Space group Ia-3d (No. 230)
Symmetry-distinct sites (fractional):
Fe: 0.000 0.250 0.125 (multiplicity 24)
Pd: 0.012 0.088 0.649 (multiplicity 96)
Au: 0.000 0.000 0.000 (multiplicity 16)
Au: 0.000 0.250 0.375 (multiplicity 24)